Entry 1:
Entry from Alexandria via LeMat-Bulk: NaYEr after structural relaxation (PBE-GGA).

Summary:
magnetization: 0.000 μB per atom
space-group type: P4/nmm, No. 129
energy relative to the lowest polymorph listed for this composition: 181 meV/atom

Unit cell a=4.1157 b=4.1157 c=11.6876 alpha=90.00 beta=90.00 gamma=90.00
Sites, in units of the cell vectors:
Na 0.2500 0.7500 0.0000
Na 0.7500 0.2500 0.0000
Y 0.2500 0.2500 0.2633
Y 0.7500 0.7500 0.7367
Er 0.2500 0.2500 0.5724
Er 0.7500 0.7500 0.4276

=====

Entry 2:
Entry from Alexandria via LeMat-Bulk: NaYEr after structural relaxation (PBE-GGA).

Summary:
magnetization: 0.000 μB per atom
space-group type: C2/m, No. 12
energy relative to the lowest polymorph listed for this composition: 0 meV/atom

Unit cell a=3.5009 b=3.5009 c=17.0178 alpha=95.68 beta=95.68 gamma=90.02
Sites, in units of the cell vectors:
Na 0.0610 0.0610 0.1086
Na 0.9390 0.9390 0.8914
Y 0.2124 0.2124 0.4219
Y 0.7876 0.7876 0.5781
Er 0.3580 0.3580 0.7239
Er 0.6420 0.6420 0.2761

=====

Entry 3:
Entry from Alexandria via LeMat-Bulk: NaYEr after structural relaxation (PBE-GGA).

Summary:
magnetization: 0.001 μB per atom
space-group type: P3m1, No. 156
energy relative to the lowest polymorph listed for this composition: 47 meV/atom

Unit cell a=3.5252 b=3.5252 c=9.1387 alpha=90.00 beta=90.00 gamma=120.00
Sites, in units of the cell vectors:
Na 0.0000 0.0000 0.0000
Y 0.3333 0.6667 0.6488
Er 0.6667 0.3333 0.3486

=====

Entry 4:
Entry from Alexandria via LeMat-Bulk: NaY2Er after structural relaxation (PBE-GGA).

Summary:
magnetization: 0.000 μB per atom
space-group type: P4/mmm, No. 123

Unit cell a=3.5402 b=3.5402 c=10.4942 alpha=90.00 beta=90.00 gamma=90.00
Sites, in units of the cell vectors:
Na 0.0000 0.0000 0.0000
Y 0.5000 0.5000 0.2704
Y 0.5000 0.5000 0.7296
Er 0.0000 0.0000 0.5000

=====

Entry 5:
Entry from Alexandria via LeMat-Bulk: NaErZn2 after structural relaxation (PBE-GGA).

Summary:
magnetization: 0.000 μB per atom
space-group type: P4/mmm, No. 123
energy relative to the lowest polymorph listed for this composition: 0 meV/atom

Unit cell a=5.1276 b=5.1276 c=3.3575 alpha=90.00 beta=90.00 gamma=90.00
Sites, in units of the cell vectors:
Na 0.0000 0.0000 0.0000
Er 0.5000 0.5000 0.0000
Zn 0.0000 0.5000 0.5000
Zn 0.5000 0.0000 0.5000

=====

Entry 6:
Entry from Alexandria via LeMat-Bulk: Na2ErZn9 after structural relaxation (PBE-GGA).

Summary:
magnetization: 0.000 μB per atom
space-group type: R-3m, No. 166

Unit cell a=9.1063 b=9.1063 c=9.1063 alpha=34.25 beta=34.25 gamma=34.25
Sites, in units of the cell vectors:
Na 0.1438 0.1438 0.1438
Na 0.8562 0.8562 0.8562
Er 0.0000 0.0000 0.0000
Zn 0.0791 0.5834 0.5834
Zn 0.3341 0.3341 0.3341
Zn 0.4166 0.4166 0.9209
Zn 0.4166 0.9209 0.4166
Zn 0.5000 0.5000 0.5000
Zn 0.5834 0.0791 0.5834
Zn 0.5834 0.5834 0.0791
Zn 0.6659 0.6659 0.6659
Zn 0.9209 0.4166 0.4166

=====

Entry 7:
Entry from Alexandria via LeMat-Bulk: NaErZn17 after structural relaxation (PBE-GGA).

Summary:
magnetization: 0.000 μB per atom
space-group type: R3m, No. 160

Unit cell a=6.8049 b=6.8049 c=6.8049 alpha=82.77 beta=82.77 gamma=82.77
Sites, in units of the cell vectors:
Na 0.0000 0.0000 0.0000
Er 0.6774 0.6774 0.6774
Zn 0.0426 0.3403 0.6423
Zn 0.0426 0.6423 0.3403
Zn 0.1824 0.6919 0.6919
Zn 0.2402 0.2402 0.2402
Zn 0.3403 0.0426 0.6423
Zn 0.3403 0.6423 0.0426
Zn 0.3444 0.3444 0.8400
Zn 0.3444 0.8400 0.3444
Zn 0.4421 0.4421 0.4421
Zn 0.5055 0.9883 0.9883
Zn 0.6423 0.0426 0.3403
Zn 0.6423 0.3403 0.0426
Zn 0.6919 0.1824 0.6919
Zn 0.6919 0.6919 0.1824
Zn 0.8400 0.3444 0.3444
Zn 0.9883 0.5055 0.9883
Zn 0.9883 0.9883 0.5055

=====

Entry 8:
Entry from Alexandria via LeMat-Bulk: Er3Nb after structural relaxation (PBE-GGA).

Summary:
magnetization: 0.000 μB per atom
space-group type: Imm2, No. 44
energy relative to the lowest polymorph listed for this composition: 7 meV/atom

Unit cell a=6.3327 b=6.3327 c=6.3327 alpha=149.15 beta=64.75 gamma=124.62
Sites, in units of the cell vectors:
Er 0.0000 0.0000 0.0000
Er 0.4028 0.6380 0.7648
Er 0.8732 0.6380 0.2352
Nb 0.4692 0.9692 0.5000

=====

Entry 9:
Entry from Alexandria via LeMat-Bulk: Er4Nb after structural relaxation (PBE-GGA).

Summary:
magnetization: 0.000 μB per atom
space-group type: Pm-3m, No. 221

Unit cell a=5.4183 b=5.4183 c=5.4183 alpha=90.00 beta=90.00 gamma=90.00
Sites, in units of the cell vectors:
Er 0.0000 0.0000 0.0000
Er 0.0000 0.5000 0.5000
Er 0.5000 0.0000 0.5000
Er 0.5000 0.5000 0.0000
Nb 0.5000 0.5000 0.5000

=====

Entry 10:
Entry from Alexandria via LeMat-Bulk: ErNb2 after structural relaxation (PBE-GGA).

Summary:
magnetization: 0.000 μB per atom
space-group type: Fd-3m, No. 227
energy relative to the lowest polymorph listed for this composition: 31 meV/atom

Unit cell a=5.7061 b=5.7061 c=5.7061 alpha=60.00 beta=60.00 gamma=60.00
Sites, in units of the cell vectors:
Er 0.1250 0.1250 0.1250
Er 0.8750 0.8750 0.8750
Nb 0.0000 0.5000 0.5000
Nb 0.5000 0.0000 0.5000
Nb 0.5000 0.5000 0.0000
Nb 0.5000 0.5000 0.5000

=====

Entry 11:
Entry from Alexandria via LeMat-Bulk: Er3Nb after structural relaxation (PBE-GGA).

Summary:
magnetization: 0.000 μB per atom
space-group type: Pmm2, No. 25
energy relative to the lowest polymorph listed for this composition: 0 meV/atom

Unit cell a=3.3526 b=5.3016 c=5.9505 alpha=90.00 beta=90.00 gamma=90.00
Sites, in units of the cell vectors:
Er 0.0000 0.0000 0.0000
Er 0.0000 0.5000 0.3270
Er 0.5000 0.5000 0.7980
Nb 0.5000 0.0000 0.4968

=====

Entry 12:
Entry from Alexandria via LeMat-Bulk: ErNb2 after structural relaxation (PBE-GGA).

Summary:
magnetization: 0.000 μB per atom
space-group type: I4/mmm, No. 139
energy relative to the lowest polymorph listed for this composition: 0 meV/atom

Unit cell a=5.9324 b=5.9324 c=5.9324 alpha=145.68 beta=145.68 gamma=49.33
Sites, in units of the cell vectors:
Er 0.0000 0.0000 0.0000
Nb 0.3058 0.3058 0.0000
Nb 0.6942 0.6942 0.0000

=====

Entry 13:
Entry from Alexandria via LeMat-Bulk: ErNb4 after structural relaxation (PBE-GGA).

Summary:
magnetization: 0.000 μB per atom
space-group type: Pm-3m, No. 221

Unit cell a=4.8316 b=4.8316 c=4.8316 alpha=90.00 beta=90.00 gamma=90.00
Sites, in units of the cell vectors:
Er 0.0000 0.0000 0.0000
Nb 0.0000 0.0000 0.5000
Nb 0.0000 0.5000 0.0000
Nb 0.5000 0.0000 0.0000
Nb 0.5000 0.5000 0.5000

=====

Entry 14:
Entry from Alexandria via LeMat-Bulk: NdErNb after structural relaxation (PBE-GGA).

Summary:
magnetization: 0.014 μB per atom
space-group type: Cmcm, No. 63

Unit cell a=13.8258 b=13.8258 c=3.5239 alpha=90.00 beta=90.00 gamma=165.58
Sites, in units of the cell vectors:
Nd 0.1475 0.8525 0.7500
Nd 0.8525 0.1475 0.2500
Er 0.4471 0.5529 0.7500
Er 0.5529 0.4471 0.2500
Nb 0.2735 0.7265 0.7500
Nb 0.7265 0.2735 0.2500

=====

Entry 15:
Entry from Alexandria via LeMat-Bulk: ErNbNi2 after structural relaxation (PBE-GGA).

Summary:
magnetization: 0.000 μB per atom
space-group type: R-3m, No. 166
energy relative to the lowest polymorph listed for this composition: 0 meV/atom

Unit cell a=5.2157 b=5.2157 c=5.2157 alpha=48.17 beta=48.17 gamma=48.17
Sites, in units of the cell vectors:
Er 0.0000 0.0000 0.0000
Nb 0.5000 0.5000 0.5000
Ni 0.2047 0.2047 0.2047
Ni 0.7953 0.7953 0.7953

=====

Entry 16:
Entry from Alexandria via LeMat-Bulk: ErNb2Ni9 after structural relaxation (PBE-GGA).

Summary:
magnetization: 0.000 μB per atom
space-group type: R-3m, No. 166

Unit cell a=8.3416 b=8.3416 c=8.3416 alpha=33.55 beta=33.55 gamma=33.55
Sites, in units of the cell vectors:
Er 0.0000 0.0000 0.0000
Nb 0.1415 0.1415 0.1415
Nb 0.8585 0.8585 0.8585
Ni 0.0817 0.5885 0.5885
Ni 0.3336 0.3336 0.3336
Ni 0.4115 0.4115 0.9183
Ni 0.4115 0.9183 0.4115
Ni 0.5000 0.5000 0.5000
Ni 0.5884 0.0817 0.5884
Ni 0.5884 0.5884 0.0817
Ni 0.6664 0.6664 0.6664
Ni 0.9183 0.4115 0.4116

=====

Entry 17:
Entry from Alexandria via LeMat-Bulk: ErNbNi2 after structural relaxation (PBE-GGA).

Summary:
magnetization: 0.000 μB per atom
space-group type: P4/mmm, No. 123
energy relative to the lowest polymorph listed for this composition: 20 meV/atom

Unit cell a=3.2028 b=3.2028 c=6.5614 alpha=90.00 beta=90.00 gamma=90.00
Sites, in units of the cell vectors:
Er 0.0000 0.0000 0.0000
Nb 0.0000 0.0000 0.5000
Ni 0.5000 0.5000 0.2981
Ni 0.5000 0.5000 0.7019

=====

Entry 18:
Entry from Alexandria via LeMat-Bulk: Er2NbNi after structural relaxation (PBE-GGA).

Summary:
magnetization: 0.229 μB per atom
space-group type: R-3m, No. 166

Unit cell a=10.0069 b=10.0069 c=10.0069 alpha=18.65 beta=18.65 gamma=18.65
Sites, in units of the cell vectors:
Er 0.1004 0.1004 0.1004
Er 0.8996 0.8996 0.8996
Nb 0.0000 0.0000 0.0000
Ni 0.5000 0.5000 0.5000

=====

Entry 19:
Entry from Alexandria via LeMat-Bulk: ErNbNi4 after structural relaxation (PBE-GGA).

Summary:
magnetization: 0.001 μB per atom
space-group type: F-43m, No. 216

Unit cell a=4.9271 b=4.9271 c=4.9271 alpha=60.00 beta=60.00 gamma=60.00
Sites, in units of the cell vectors:
Er 0.0000 0.0000 0.0000
Nb 0.7500 0.7500 0.7500
Ni 0.3754 0.3754 0.3754
Ni 0.3754 0.3754 0.8738
Ni 0.3754 0.8738 0.3754
Ni 0.8738 0.3754 0.3754

=====

Entry 20:
Entry from Alexandria via LeMat-Bulk: ErNbNiOs after structural relaxation (PBE-GGA).

Summary:
magnetization: 0.000 μB per atom
space-group type: F-43m, No. 216

Unit cell a=4.5934 b=4.5934 c=4.5934 alpha=60.00 beta=60.00 gamma=60.00
Sites, in units of the cell vectors:
Er 0.0000 0.0000 0.0000
Nb 0.5000 0.5000 0.5000
Ni 0.7500 0.7500 0.7500
Os 0.2500 0.2500 0.2500

=====

no.,energy of formation from the pure elements (eV/atom),N(E_F) (states/eV/f.u.)
1,0.2867,4.0
2,0.1053,3.5
3,0.1522,4.7
4,0.1275,4.6
5,-0.0934,2.7
6,-0.1209,4.7
7,-0.1234,5.9
8,0.2278,5.0
9,0.5026,5.3
10,0.1627,6.0
11,0.2210,5.9
12,0.1313,3.3
13,2.0057,4.2
14,0.2436,4.0
15,-0.2311,2.7
16,-0.2837,14.2
17,-0.2113,4.4
18,0.4388,2.9
19,-0.2301,8.9
20,-0.1727,3.2